(1)
DFT (PBE) results for a relaxed structure of Mg2Si4Pt3Rh.

Space-group type: P-4m2, No. 115
Formation energy from raw total energies (eV/atom): -0.68
N(E_F) (states/eV per cell): 4.15
Total moment (μB per cell): 0.000

Cell lengths 3.932, 3.932, 10.576 Å; angles 90.00, 90.00, 90.00 degrees
Element x y z (fractional)
Mg: 0.000 0.500 0.241
Mg: 0.500 0.000 0.759
Si: 0.000 0.000 0.500
Si: 0.000 0.500 0.865
Si: 0.500 0.000 0.135
Si: 0.500 0.500 0.500
Pt: 0.000 0.000 0.000
Pt: 0.000 0.500 0.641
Pt: 0.500 0.000 0.359
Rh: 0.500 0.500 0.000

=====

(2)
DFT (PBE) results for a relaxed structure of MgSiPtRh2.

Space-group type: P4/mmm, No. 123
Formation energy from raw total energies (eV/atom): 0.26
N(E_F) (states/eV per cell): 4.95
Total moment (μB per cell): 0.000

Cell lengths 4.328, 4.328, 4.733 Å; angles 90.00, 90.00, 90.00 degrees
Element x y z (fractional)
Mg: 0.000 0.000 0.000
Si: 0.000 0.000 0.500
Pt: 0.500 0.500 0.000
Rh: 0.000 0.500 0.500
Rh: 0.500 0.000 0.500